Here is a relaxed NaMgPb2 crystal from the Alexandria database. Energies are from PBE.

Cell and atoms, written as extended XYZ:
```
8
Lattice="4.796 0.000 0.000 0.000 4.796 0.000 2.398 2.398 10.554" Properties=species:S:1:pos:R:3 pbc="T T T"
Mg 0.000 0.000 0.000
Mg 4.796 2.398 5.277
Pb 1.156 3.597 2.638
Pb 3.640 1.199 2.638
Pb 5.995 6.038 7.915
Pb 3.597 3.554 7.915
Na 2.398 2.398 0.000
Na 2.398 4.796 5.277
```

Results
E_form in eV/atom: 0.053